[1]
Here is an optimized crystal structure of MgHRh3 from the Alexandria database. Energies are from PBE.

Total energy in eV/atom: -5.4061
Crystal system: trigonal

Structure (POSCAR):
```
MgHRh3
1.0
3.6104 2.0845 2.7785
-3.6104 2.0845 2.7785
0.0000 -4.1690 2.7785
Mg H Rh
2 2 6
Cartesian
0.0000 0.0000 0.0000 Mg
0.0000 0.0000 4.1677 Mg
0.0000 0.0000 2.0838 H
0.0000 0.0000 6.2515 H
-2.6153 -0.3609 3.4731 Rh
-0.9951 -2.4454 4.8623 Rh
1.6202 -2.0845 3.4731 Rh
-1.6202 2.0845 4.8623 Rh
0.9951 2.4454 3.4731 Rh
2.6153 0.3609 4.8623 Rh
```

=====

[2]
Here is an optimized crystal structure of Mg2H2Rh from the Alexandria database. Energies are from PBE.

Total energy in eV/atom: -3.7039
Crystal system: triclinic

Structure (POSCAR):
```
Mg2H2Rh
1.0
4.2789 0.0000 0.0000
-1.9807 5.0511 0.0000
-0.1064 -2.5577 5.3419
Mg H Rh
4 4 2
Cartesian
0.0356 -0.3645 1.5353 Mg
0.0099 0.9469 4.7058 Mg
2.1819 1.5464 0.6361 Mg
2.1562 2.8579 3.8066 Mg
0.9888 -2.5226 5.3334 H
1.9971 -1.5598 3.6118 H
0.1947 4.0532 1.7301 H
1.2030 5.0160 0.0085 H
0.0086 2.4090 2.1566 Rh
2.1832 0.0844 3.1853 Rh
```